Material: Cs2TbIO6
Method: DFT, PBE-GGA
State: optimized geometry

## Properties
VASP energy	-0.1950	hartree per atom
E_form (uncorrected)	-1.54	eV per atom

Cell lengths 6.8219, 6.8219, 5.8882 Å; angles 90.00, 90.00, 120.00 degrees
With the nearest neighbours (Å) after each atom.
Space group P-3m1 (No. 164)
Symmetry-distinct sites (fractional):
Cs: 0.3333 0.6667 0.1326  9 O 3.11-3.46
Tb: 0.0000 0.0000 0.5000  6 O 2.33
I: 0.0000 0.0000 0.0000  6 O 1.93
O: 0.1291 0.2582 0.8001  1 I 1.93